Entry 1:
Crystalline SmHo2Rh3 at its relaxed geometry. Source: Alexandria, functional PBE. Values from VASP.

Calculated values
- E_form: -0.84 eV per atom

```
&SYSTEM
  ibrav = 0, nat = 6, ntyp = 3
/
ATOMIC_SPECIES
Sm 150.36 Sm.upf
Ho 164.93 Ho.upf
Rh 102.91 Rh.upf
CELL_PARAMETERS angstrom
-0.8180 3.1313 3.6329
-2.9415 -3.8250 -0.6234
3.4696 -3.2525 3.5845
ATOMIC_POSITIONS crystal
Sm 0.0000 0.0000 0.0000
Ho 0.3333 0.6667 0.6642
Ho 0.6667 0.3333 0.3358
Rh 0.3333 0.6667 0.1730
Rh 0.0000 0.0000 0.5000
Rh 0.6667 0.3333 0.8270
```

Entry 2:
Crystalline HfFe2Pt at its relaxed geometry. Source: Alexandria, functional PBE. Values from VASP.

Calculated values
- E_form: -0.27 eV per atom

```
&SYSTEM
  ibrav = 0, nat = 4, ntyp = 3
/
ATOMIC_SPECIES
Fe 55.84 Fe.upf
Pt 195.08 Pt.upf
Hf 178.49 Hf.upf
CELL_PARAMETERS angstrom
2.3842 -3.2497 1.6964
-0.6407 -1.2505 4.1411
-1.8628 -3.8630 0.8541
ATOMIC_POSITIONS crystal
Fe 0.2500 0.2500 0.2500
Fe 0.7500 0.7500 0.7500
Pt 0.5000 0.5000 0.5000
Hf 0.0000 0.0000 0.0000
```

Entry 3:
Crystalline ScRuW2 at its relaxed geometry. Source: Alexandria, functional PBE. Values from VASP.

Calculated values
- E_form: -0.04 eV per atom
- Polymorph energy (0 for the lowest one): 0.027 eV/f.u.

```
&SYSTEM
  ibrav = 0, nat = 4, ntyp = 3
/
ATOMIC_SPECIES
W 183.84 W.upf
Sc 44.96 Sc.upf
Ru 101.07 Ru.upf
CELL_PARAMETERS angstrom
3.1813 0.0000 0.0000
0.0000 3.1813 0.0000
0.0000 0.0000 6.5267
ATOMIC_POSITIONS crystal
W 0.5000 0.5000 0.2495
W 0.0000 0.0000 0.0190
Sc 0.5000 0.5000 0.7455
Ru 0.0000 0.0000 0.4859
```

Entry 4:
Crystalline Ho2NbP at its relaxed geometry. Source: Alexandria, functional PBE. Values from VASP.

Calculated values
- E_form: 0.03 eV per atom

```
&SYSTEM
  ibrav = 0, nat = 4, ntyp = 3
/
ATOMIC_SPECIES
Nb 92.91 Nb.upf
Ho 164.93 Ho.upf
P 30.97 P.upf
CELL_PARAMETERS angstrom
-1.2022 3.1492 1.0560
-1.5769 0.3248 3.1441
7.3383 2.9863 5.3562
ATOMIC_POSITIONS crystal
Nb 0.0000 0.0000 0.0000
Ho 0.1056 0.1056 0.6832
Ho 0.8944 0.8944 0.3168
P 0.5000 0.5000 0.5000
```

Entry 5:
Crystalline ZnSbMo at its relaxed geometry. Source: Alexandria, functional PBE. Values from VASP.

Calculated values
- Polymorph energy (0 for the lowest one): 1.130 eV/f.u.
- ΔE_f (raw): 459 meV/atom

```
&SYSTEM
  ibrav = 0, nat = 3, ntyp = 3
/
ATOMIC_SPECIES
Sb 121.76 Sb.upf
Mo 95.94 Mo.upf
Zn 65.41 Zn.upf
CELL_PARAMETERS angstrom
-4.6555 0.1706 -0.8690
1.5685 -1.4250 4.2388
-0.0759 2.7047 0.9373
ATOMIC_POSITIONS crystal
Sb 0.6667 0.3333 0.1712
Mo 0.0000 0.0000 0.1641
Zn 0.3333 0.6667 0.6647
```

Entry 6:
Crystalline Sm8BC3Cl4 at its relaxed geometry. Source: Alexandria, functional PBE. Values from VASP.

Calculated values
- ΔE_f (raw): -1009 meV/atom

```
&SYSTEM
  ibrav = 0, nat = 16, ntyp = 4
/
ATOMIC_SPECIES
Sm 150.36 Sm.upf
B 10.81 B.upf
C 12.01 C.upf
Cl 35.45 Cl.upf
CELL_PARAMETERS angstrom
-0.7717 -3.0016 -6.9102
-5.9632 -4.9322 2.8083
-0.8796 7.4541 1.0104
ATOMIC_POSITIONS crystal
Sm 0.7301 0.6904 0.4603
Sm 0.2699 0.3096 0.5397
Sm 0.7265 0.6948 0.9607
Sm 0.7658 0.3052 0.0393
Sm 0.2342 0.6948 0.9607
Sm 0.2342 0.6948 0.4683
Sm 0.7658 0.3052 0.5317
Sm 0.2735 0.3052 0.0393
B 0.0000 0.5000 0.0000
C 0.5000 0.5000 0.5000
C 0.5000 0.5000 0.0000
C 0.0000 0.5000 0.5000
Cl 0.0000 0.0000 0.0000
Cl 0.0000 0.0000 0.5000
Cl 0.5000 0.0000 0.0000
Cl 0.5000 0.0000 0.5000
```

Computed uncorrected energy, in the same sequence as the records: -40.97; -34.00; -41.69; -24.50; -14.85; -95.64 eV/cell.